## YHo3Al8 (PBE)

Data for YHo3Al8 after structural relaxation.

extended XYZ file:
```
12
Lattice="-3.182 2.978 3.419 4.310 -2.846 2.003 5.375 7.230 -1.294" Properties=species:S:1:pos:R:3 pbc="T T T"
Y 3.051 4.104 -0.735
Ho 1.636 4.158 2.388
Ho -0.321 1.526 2.859
Ho 5.014 6.744 -1.207
Al 4.499 2.709 1.828
Al 1.813 -0.904 2.475
Al 2.468 6.903 0.772
Al 4.564 5.520 1.746
Al 3.016 6.968 3.409
Al 2.223 1.365 0.881
Al 4.437 -0.097 1.909
Al 2.802 1.433 3.665
```

Values from the calculation:
Crystal system   trigonal
Total magnetization   0.000 μB per cell
DFT total energy   -4.688 eV/atom
Polymorph energy (0 for the lowest one)   0.11 eV per formula unit
Symmetry   P3m1, No. 156
E_form   -509 meV per atom
Fermi-level density of states   5.8 states/eV/f.u.